Entry 1:
An optimized crystal structure of Li3Ac4Si5. Source: Alexandria via LeMat-Bulk, functional GGA-PBE.

Its raw formation energy is -272 meV/atom. Its space group is No. 12.

extended XYZ file:
```
12
Lattice="-3.563 -2.584 1.559 -2.180 -4.808 -5.959 4.544 -8.916 2.598" Properties=species:S:1:pos:R:3 pbc="T T T"
Li -1.747 -7.898 -3.097
Li 1.182 -6.862 -1.681
Li 0.547 -8.411 1.295
Ac 0.354 -11.853 2.143
Ac 0.395 -10.571 -2.634
Ac -1.594 -5.738 0.832
Ac -1.554 -4.456 -3.945
Si -0.165 -14.049 -2.685
Si -0.600 -8.154 -0.901
Si -1.096 -3.399 -1.145
Si -0.104 -12.910 -0.657
Si -1.035 -2.260 0.882
```


Entry 2:
An optimized crystal structure of Tm8Ni2Ru. Source: Alexandria via LeMat-Bulk, functional GGA-PBE.

Its space group is No. 8. As for the formation energy from the elements: -199 meV per atom.

extended XYZ file:
```
11
Lattice="-1.370 5.361 -1.439 -0.269 -3.223 -6.663 -5.729 -1.649 4.394" Properties=species:S:1:pos:R:3 pbc="T T T"
Tm -1.353 1.884 -2.717
Tm -2.744 2.285 0.100
Tm -2.412 -0.859 -1.069
Tm -5.915 3.315 0.582
Tm -2.809 2.420 -5.707
Tm -4.981 1.239 -2.636
Tm -4.618 -1.993 -3.776
Tm -6.008 -1.592 -0.961
Ni -2.644 -0.123 -3.997
Ni -4.760 0.487 0.288
Ru -0.168 0.575 -0.165
```


Entry 3:
An optimized crystal structure of Ce2DyTc. Source: Alexandria via LeMat-Bulk, functional GGA-PBE.

Its space group is No. 166. As for the formation energy from the elements: 149 meV per atom.

extended XYZ file:
```
4
Lattice="-3.685 -0.886 -0.044 -1.248 -3.013 1.932 -2.964 3.834 7.783" Properties=species:S:1:pos:R:3 pbc="T T T"
Tc 0.000 0.000 0.000
Ce -1.887 -0.357 1.944
Ce -6.010 0.292 7.728
Dy -3.948 -0.032 4.836
```


Entry 4:
An optimized crystal structure of Be2SiAs. Source: Alexandria via LeMat-Bulk, functional GGA-PBE.

Its raw formation energy is 482 meV/atom. Its space group is No. 65.

extended XYZ file:
```
4
Lattice="-0.469 2.691 0.114 -2.555 -0.954 -0.197 -0.401 -0.366 6.982" Properties=species:S:1:pos:R:3 pbc="T T T"
Be -0.011 -0.010 0.195
Be -0.189 -0.173 3.296
As -1.813 0.594 5.195
Si -1.612 0.777 1.704
```


Entry 5:
An optimized crystal structure of PmSmHo2As4. Source: Alexandria via LeMat-Bulk, functional GGA-PBE.

Its space group is No. 10. As for the formation energy from the elements: -1525 meV per atom.

extended XYZ file:
```
8
Lattice="4.166 0.000 0.000 0.000 7.207 -0.141 0.000 2.537 6.751" Properties=species:S:1:pos:R:3 pbc="T T T"
Pm 0.000 4.872 3.305
Sm 2.083 6.141 6.681
Ho 0.000 2.537 6.751
Ho 2.083 1.269 3.376
As 0.000 7.358 4.944
As 4.166 2.386 1.666
As 2.083 6.089 1.559
As 2.083 3.654 5.052
```


Entry 6:
An optimized crystal structure of Mg2NiSb. Source: Alexandria via LeMat-Bulk, functional GGA-PBE.

Its raw formation energy is -123 meV/atom. Its space group is No. 65.

extended XYZ file:
```
4
Lattice="3.158 -0.008 0.000 -0.098 3.156 0.000 0.000 0.000 7.771" Properties=species:S:1:pos:R:3 pbc="T T T"
Mg 0.000 0.000 0.464
Mg 0.000 0.000 3.421
Ni 1.530 1.574 1.943
Sb 1.530 1.574 5.828
```


Entry 7:
An optimized crystal structure of Hg3Bi12Pb5. Source: Alexandria via LeMat-Bulk, functional GGA-PBE.

Its space group is No. 230. As for the formation energy from the elements: 260 meV per atom.

extended XYZ file:
```
80
Lattice="-3.277 -11.445 10.935 15.926 2.751 -0.312 -7.745 13.622 3.970" Properties=species:S:1:pos:R:3 pbc="T T T"
Hg 2.546 -5.849 8.581
Hg 8.109 -6.248 9.830
Hg 5.875 6.286 6.348
Hg -1.733 2.591 4.184
Hg -2.813 -6.265 10.522
Hg 6.789 0.833 4.898
Hg -1.885 4.095 9.695
Hg 7.717 11.193 4.071
Hg 6.637 2.338 10.409
Hg -0.971 -1.357 8.245
Hg -3.205 11.177 4.763
Hg 2.358 10.778 6.013
Pb 3.626 3.007 2.242
Pb 7.963 1.376 -0.156
Pb 0.000 0.000 0.000
Pb 1.784 -1.901 4.519
Pb -5.511 1.089 7.453
Pb 6.324 -4.347 5.311
Pb 8.631 5.741 2.621
Pb -7.244 3.680 11.636
Pb 4.591 -1.756 9.495
Pb -5.047 6.269 7.039
Pb 9.951 -1.340 7.554
Pb 2.452 2.464 7.297
Pb -1.639 -5.722 5.468
Pb -3.872 6.811 1.985
Pb 0.313 6.684 5.098
Pb 12.148 1.249 2.957
Pb 4.091 8.187 1.829
Pb -3.727 -0.812 11.972
Pb 3.120 6.830 10.074
Pb 1.278 1.922 12.351
Bi -0.283 -6.929 8.151
Bi 4.797 3.139 5.165
Bi 0.163 -6.008 11.180
Bi 0.458 -3.636 6.790
Bi 4.621 4.536 8.521
Bi 5.226 -6.878 10.635
Bi 7.813 4.194 5.242
Bi 13.362 3.716 1.418
Bi 7.797 4.696 8.846
Bi 5.335 -4.609 8.385
Bi 1.748 -3.103 9.666
Bi 11.100 -6.231 9.196
Bi 6.619 7.847 3.826
Bi 4.849 -1.899 3.786
Bi 11.586 6.357 1.718
Bi -3.441 3.558 7.118
Bi 0.567 2.808 1.514
Bi 8.310 -1.819 4.906
Bi 10.068 -3.316 10.006
Bi 5.702 0.644 2.045
Bi 7.750 9.275 6.453
Bi 5.227 0.977 8.061
Bi 6.055 -0.287 11.868
Bi -4.361 4.868 12.090
Bi -0.323 3.951 6.532
Bi -1.151 5.216 2.725
Bi 9.265 0.061 2.503
Bi -5.164 8.245 4.588
Bi -2.846 -4.346 8.140
Bi -0.798 4.285 12.548
Bi -3.406 6.748 9.687
Bi 8.345 1.370 7.475
Bi 4.337 2.121 13.079
Bi -6.682 -1.428 12.875
Bi -1.715 -2.918 10.768
Bi -6.196 11.160 5.397
Bi 0.055 6.828 10.807
Bi -2.893 0.232 5.747
Bi -0.431 9.538 6.208
Bi 3.156 8.032 4.927
Bi -8.458 1.213 13.175
Bi -2.910 0.735 9.351
Bi 4.446 8.565 7.803
Bi -0.322 11.807 3.958
Bi 0.283 0.393 6.073
Bi 4.741 10.937 3.413
Bi 0.107 1.790 9.428
Bi 5.187 11.858 6.442
```


Entry 8:
An optimized crystal structure of AcTm7Tl4. Source: Alexandria via LeMat-Bulk, functional GGA-PBE.

Its space group is No. 12. As for the formation energy from the elements: 60 meV per atom.

extended XYZ file:
```
12
Lattice="-1.731 -0.560 -5.539 4.178 -7.417 -3.624 -5.587 -5.366 -0.779" Properties=species:S:1:pos:R:3 pbc="T T T"
Ac 0.000 0.000 0.000
Tm -0.758 -9.889 -7.968
Tm -2.383 -3.455 -1.974
Tm 0.878 -5.972 -2.739
Tm -4.019 -7.372 -7.203
Tm -2.147 -9.197 -4.535
Tm -0.866 -0.280 -2.770
Tm -0.994 -4.147 -5.407
Tl -3.485 -5.496 -4.492
Tl 0.344 -7.848 -5.451
Tl -3.739 -10.463 -6.978
Tl 0.598 -2.881 -2.964
```


Entry 9:
An optimized crystal structure of Ca3BiH3. Source: Alexandria via LeMat-Bulk, functional GGA-PBE.

Its space group is No. 148. The calculation puts the calculated total energy at -3.376 eV per atom.

extended XYZ file:
```
14
Lattice="6.815 0.000 0.000 3.408 5.902 0.000 3.408 1.967 7.608" Properties=species:S:1:pos:R:3 pbc="T T T"
Ca 4.647 3.816 2.331
Ca 8.002 2.116 2.331
Ca 7.796 5.872 2.331
Ca 5.834 1.997 5.277
Ca 5.628 5.753 5.277
Ca 8.983 4.054 5.277
Bi 3.408 1.967 0.030
Bi 10.223 5.902 7.578
H 7.851 6.078 4.654
H 8.154 1.966 4.654
H 4.441 3.760 4.654
H 9.189 4.110 2.955
H 5.477 5.903 2.955
H 5.779 1.791 2.955
```


Entry 10:
An optimized crystal structure of PmAlTe2. Source: Alexandria via LeMat-Bulk, functional GGA-PBE.

Its raw formation energy is -343 meV/atom. Its space group is No. 166.

extended XYZ file:
```
4
Lattice="-3.653 0.413 1.666 -3.312 -0.397 -2.273 -2.505 -9.113 1.656" Properties=species:S:1:pos:R:3 pbc="T T T"
Te -2.444 -6.086 1.039
Te -7.025 -3.011 0.010
Al -4.735 -4.548 0.524
Pm 0.000 0.000 0.000
```


Entry 11:
An optimized crystal structure of SiNiSbAs2. Source: Alexandria via LeMat-Bulk, functional GGA-PBE.

Its raw formation energy is 1528 meV/atom. Its space group is No. 123.

extended XYZ file:
```
5
Lattice="-4.104 0.592 3.212 -1.074 -4.902 -0.470 3.069 -1.067 4.118" Properties=species:S:1:pos:R:3 pbc="T T T"
Sb 0.000 0.000 0.000
As 1.534 -0.534 2.059
As -2.052 0.296 1.606
Si -0.537 -2.451 -0.235
Ni -1.055 -2.689 3.430
```


Entry 12:
An optimized crystal structure of Tl5Hg4. Source: Alexandria via LeMat-Bulk, functional GGA-PBE.

Its space group is No. 193. As for the formation energy from the elements: -6 meV per atom.

extended XYZ file:
```
18
Lattice="-7.110 5.624 -3.371 -2.123 -8.069 4.891 0.025 3.391 5.607" Properties=species:S:1:pos:R:3 pbc="T T T"
Hg 0.000 0.000 0.000
Hg 0.012 1.696 2.803
Hg -0.767 -2.089 3.181
Hg -5.867 -0.708 2.368
Hg -2.581 2.895 0.175
Hg -1.332 -2.589 7.316
Hg -3.342 1.654 4.758
Hg -4.504 6.121 2.061
Tl -1.479 -4.795 4.821
Tl -2.771 0.112 1.859
Tl -4.966 4.781 -0.955
Tl -0.620 0.117 5.676
Tl -6.438 0.834 5.268
Tl -2.120 4.235 3.191
Tl -5.448 1.060 -0.617
Tl -3.773 -1.809 4.940
Tl -3.786 -3.505 2.137
Tl -5.435 2.755 2.186
```


Going through the records in order, we get calculated volume values of 29.46 24.67 27.70 12.86 25.53 19.36 40.64 30.35 21.86 32.83 27.74 29.49 Å³ per atom.